A crystal of Ag3IBr relaxed with PBEsol. Source: Alexandria, functional SCAN.

Total magnetic moment, Bohr magnetons per cell: 0.0
V, A^3/atom: 27.571
Uncorrected formation energy, meV/atom: 358

Cell: 5.166 5.166 5.166 Å, 90.00 90.00 90.00°
Fractional coordinates of all 5 atoms:
I 0.500 0.500 0.500
Br 0.000 0.000 0.000
Ag 0.000 0.500 0.000
Ag 0.000 0.000 0.500
Ag 0.500 0.000 0.000

***

A crystal of Tl2OsCl relaxed with PBEsol. Source: Alexandria, functional SCAN.

Total magnetic moment, Bohr magnetons per cell: 0.6
ΔE to the lowest computed polymorph, eV per formula unit: 0.00
V, A^3/atom: 20.744
Uncorrected formation energy, meV/atom: 449

Cell: 3.008 4.903 5.627 Å, 90.00 90.00 90.00°
Fractional coordinates of all 4 atoms:
Tl 0.915 0.500 0.000
Tl 0.330 0.000 0.500
Os 0.842 0.500 0.500
Cl 0.413 0.000 0.000

***

A crystal of TcNiGe2Au relaxed with PBEsol. Source: Alexandria, functional SCAN.

Total magnetic moment, Bohr magnetons per cell: 3.7
Formation enthalpy at 0 K, kJ/mol of formula units: 347
V, A^3/atom: 17.812

Cell: 4.322 4.322 4.769 Å, 90.00 90.00 90.00°
Fractional coordinates of all 5 atoms:
Ni 0.000 0.000 0.000
Ge 0.000 0.500 0.000
Ge 0.500 0.000 0.000
Au 0.000 0.000 0.500
Tc 0.500 0.500 0.500

***

Question: What is the total magnetic moment in the second record?
Answer: 0.6 Bohr magnetons per cell

***

Question: Number 2 is which compound?
Answer: Tl2OsCl

***

Question: Among the records above, which one has the lowest total magnetic moment?
Answer: Ag3IBr